Record 1
Here is CdCu4O5 after structural relaxation from Alexandria. Energies are from PBE.

The formation energy (no corrections) comes out at -496 meV per atom.

The space group is I4/m (No. 87) and the conventional cell measures 6.8076, 6.8076 and 4.4973 Å, with angles of 90.00, 90.00 and 90.00 degrees. The distinct sites, in fractional coordinates, are Cd at (0.0000, 0.0000, 0.0000), Cu at (0.1031, 0.6995, 0.5000), O at (0.0000, 0.0000, 0.5000) and O at (0.1257, 0.6798, 0.0000).

Record 2
Here is KRuAu2 after structural relaxation from Alexandria. Energies are from PBE.

For the energy relative to the lowest polymorph listed for this composition, the calculation gives 167 meV/atom.

The space group is Imm2 (No. 44) and the conventional cell measures 2.7439, 5.3114 and 11.1865 Å, with angles of 90.00, 90.00 and 90.00 degrees. The distinct sites, in fractional coordinates, are K at (0.0000, 0.0000, 0.0000), Ru at (0.0000, 0.5000, 0.2236), Au at (0.0000, 0.0000, 0.5102) and Au at (0.0000, 0.5000, 0.7749).

Record 3
Here is Pu2InHg12 after structural relaxation from Alexandria. Energies are from PBE.

The space group is P4/nbm (No. 125, origin choice 2) and the conventional cell measures 7.5478, 7.5478 and 15.1032 Å, with angles of 90.00, 90.00 and 90.00 degrees. The distinct sites, in fractional coordinates, are Pu at (0.2500, 0.7500, 0.2231), In at (0.2500, 0.7500, 0.0000), Hg at (0.0006, 0.5006, 0.1045), Hg at (0.1068, 0.6068, 0.4115), Hg at (0.2500, 0.2500, 0.2062) and Hg at (0.2500, 0.2500, 0.3997).

Record 4
Here is La3Y5Te12 after structural relaxation from Alexandria. Energies are from PBE.

The formation energy (no corrections) comes out at -1313 meV per atom.

The space group is Ia-3d (No. 230) and the conventional cell measures 18.3949, 18.3949 and 18.3949 Å, with angles of 90.00, 90.00 and 90.00 degrees. The distinct sites, in fractional coordinates, are La at (0.0000, 0.2500, 0.1250), Y at (0.0000, 0.0000, 0.0000), Y at (0.0000, 0.2500, 0.3750) and Te at (0.0227, 0.0689, 0.6514).

Record 5
Here is Li2CdIn after structural relaxation from Alexandria. Energies are from PBE.

The space group is Pmmm (No. 47) and the conventional cell measures 3.2318, 3.5243 and 6.6077 Å, with angles of 90.00, 90.00 and 90.00 degrees. The distinct sites, in fractional coordinates, are Li at (0.0000, 0.0000, 0.2440), Cd at (0.5000, 0.5000, 0.0000) and In at (0.5000, 0.5000, 0.5000).

Record 6
Here is SiIr2Cl after structural relaxation from Alexandria. Energies are from PBE.

For the energy relative to the lowest polymorph listed for this composition, the calculation gives 355 meV/atom. The formation energy (no corrections) comes out at 131 meV per atom.

The space group is Cmmm (No. 65) and the conventional cell measures 2.8686, 5.1001 and 8.4523 Å, with angles of 90.00, 90.00 and 90.00 degrees. The distinct sites, in fractional coordinates, are Si at (0.0000, 0.0000, 0.0000), Ir at (0.0000, 0.5000, 0.2188) and Cl at (0.0000, 0.0000, 0.5000).

Record 7
Here is CoTc2Rh after structural relaxation from Alexandria. Energies are from PBE.

For the energy relative to the lowest polymorph listed for this composition, the calculation gives 251 meV/atom.

The space group is P4mm (No. 99) and the conventional cell measures 3.1048, 3.1048 and 5.7056 Å, with angles of 90.00, 90.00 and 90.00 degrees. The distinct sites, in fractional coordinates, are Co at (0.0000, 0.0000, 0.0000), Tc at (0.0000, 0.0000, 0.5283), Tc at (0.5000, 0.5000, 0.7866) and Rh at (0.5000, 0.5000, 0.2435).

Record 8
Here is SrNd3 after structural relaxation from Alexandria. Energies are from PBE.

The space group is Imm2 (No. 44) and the conventional cell measures 3.7998, 12.2276 and 6.6359 Å, with angles of 90.00, 90.00 and 90.00 degrees. The distinct sites, in fractional coordinates, are Sr at (0.0000, 0.0000, 0.0000), Nd at (0.0000, 0.2394, 0.3412) and Nd at (0.0000, 0.5000, 0.0027).

Record 9
Here is PmDyBiPb after structural relaxation from Alexandria. Energies are from PBE.

For the energy relative to the lowest polymorph listed for this composition, the calculation gives 0 meV/atom.

The space group is P2/m (No. 10) and the conventional cell measures 4.5139, 4.5216 and 6.3777 Å, with angles of 90.00, 90.18 and 90.00 degrees. The distinct sites, in fractional coordinates, are Pm at (0.0000, 0.0000, 0.0000), Dy at (0.5000, 0.5000, 0.5000), Bi at (0.0000, 0.0000, 0.5000) and Pb at (0.5000, 0.5000, 0.0000).

Record 10
Here is NpZn5Ag4 after structural relaxation from Alexandria. Energies are from PBE.

The space group is P4/mmm (No. 123) and the conventional cell measures 2.9408, 2.9408 and 19.5455 Å, with angles of 90.00, 90.00 and 90.00 degrees. The distinct sites, in fractional coordinates, are Np at (0.0000, 0.0000, 0.0000), Zn at (0.5000, 0.5000, 0.1181), Zn at (0.5000, 0.5000, 0.3084), Zn at (0.5000, 0.5000, 0.5000), Ag at (0.0000, 0.0000, 0.2129) and Ag at (0.0000, 0.0000, 0.4043).

Record 11
Here is TcRuSe2 after structural relaxation from Alexandria. Energies are from PBE.

For the energy relative to the lowest polymorph listed for this composition, the calculation gives 54 meV/atom. The formation energy (no corrections) comes out at -23 meV per atom.

The space group is Cm (No. 8) and the conventional cell measures 8.2686, 3.1613 and 5.2911 Å, with angles of 90.00, 90.62 and 90.00 degrees. The distinct sites, in fractional coordinates, are Tc at (0.0000, 0.0000, 0.0000), Ru at (0.3854, 0.5000, 0.4989), Se at (0.1032, 0.5000, 0.6783) and Se at (0.2837, 0.0000, 0.1730).

Record 12
Here is Er2ZnPt2 after structural relaxation from Alexandria. Energies are from PBE.

The space group is Ibam (No. 72) and the conventional cell measures 7.1357, 11.0083 and 5.6599 Å, with angles of 90.00, 90.00 and 90.00 degrees. The distinct sites, in fractional coordinates, are Er at (0.1575, 0.1475, 0.0000), Zn at (0.0000, 0.5000, 0.2500) and Pt at (0.2371, 0.1082, 0.5000).

no.,total energy (eV/atom)
1,-4.705
2,-3.747
3,-2.299
4,-5.553
5,-2.138
6,-6.117
7,-8.626
8,-3.875
9,-4.857
10,-3.067
11,-6.675
12,-5.487